Record 1
A relaxed structure of Dy3Ag3Bi4, computed with PBE-GGA.

Calculated values
Calculated total energy = -0.156 hartree per atom
ΔH_f (0 K) = -0.45 eV per atom

The structure in POSCAR format:
```
Dy3Ag3Bi4
1.0
-5.093 5.093 5.093
5.093 -5.093 5.093
5.093 5.093 -5.093
Dy Ag Bi
6 6 8
Direct
0.125 0.750 0.875
0.250 0.625 0.375
0.375 0.250 0.625
0.625 0.375 0.250
0.750 0.875 0.125
0.875 0.125 0.750
0.125 0.875 0.250
0.250 0.125 0.875
0.375 0.625 0.750
0.625 0.750 0.375
0.750 0.375 0.625
0.875 0.250 0.125
0.000 0.320 0.500
0.000 0.820 0.500
0.180 0.180 0.180
0.320 0.500 0.000
0.500 0.000 0.320
0.500 0.000 0.820
0.680 0.680 0.680
0.820 0.500 0.000
```


Record 2
A relaxed structure of DyAgBi, computed with PBE-GGA.

Calculated values
Calculated total energy = -0.136 hartree per atom
ΔH_f (0 K) = 0.08 eV per atom

The structure in POSCAR format:
```
DyAgBi
1.0
-1.698 1.698 7.904
1.698 -1.698 7.904
1.698 1.698 -7.904
Dy Ag Bi
1 1 1
Direct
0.000 0.000 0.000
0.622 0.622 0.000
0.804 0.804 0.000
```


Record 3
A relaxed structure of DyAgBi2, computed with PBE-GGA.

Calculated values
Calculated total energy = -0.146 hartree per atom
ΔH_f (0 K) = -0.18 eV per atom

The structure in POSCAR format:
```
DyAgBi2
1.0
2.595 1.498 4.710
-2.595 1.498 4.710
0.000 -2.996 4.710
Dy Ag Bi
1 1 2
Direct
0.000 0.000 0.000
0.500 0.500 0.500
0.241 0.241 0.241
0.759 0.759 0.759
```


calculated total energy of number 2 (DyAgBi)?
-0.136 hartree per atom


Which value of calculated total energy does entry 2 give?
-0.136 hartree per atom


What is the ΔH_f (0 K) in the third record?
-0.18 eV per atom


What did the third record say?
A relaxed structure of DyAgBi2, computed with PBE-GGA.

Calculated values
Calculated total energy = -0.146 hartree per atom
ΔH_f (0 K) = -0.18 eV per atom

The structure in POSCAR format:
```
DyAgBi2
1.0
2.595 1.498 4.710
-2.595 1.498 4.710
0.000 -2.996 4.710
Dy Ag Bi
1 1 2
Direct
0.000 0.000 0.000
0.500 0.500 0.500
0.241 0.241 0.241
0.759 0.759 0.759
```